<A>
The following is a DFT calculation (PBE) of a relaxed Hg2AuBr crystal.

Calculated values
- Theoretical density: 10.19 g/cm³

Cell lengths 5.855, 5.855, 5.855 Å; angles 142.54, 111.56, 80.71 degrees
Fractional positions:
Au 0.501 0.501 0.000
Br 0.278 0.778 0.500
Hg 0.990 0.990 0.000
Hg 0.730 0.230 0.500

---

<B>
The following is a DFT calculation (PBE) of a relaxed Hg2AuBr crystal.

Calculated values
- Theoretical density: 10.57 g/cm³

Cell lengths 3.971, 3.971, 8.125 Å; angles 75.85, 75.85, 60.00 degrees
Fractional positions:
Hg 0.075 0.075 0.775
Hg 0.261 0.261 0.218
Br 0.496 0.496 0.513
Au 0.668 0.668 0.995

---

Here is how they stack up, most stable first: <B>, <A>.